A plane-wave DFT calculation with PBE-GGA was carried out for a relaxed structure of RbV2GeBi.

Energy of formation ... 2513 meV/atom
Symmetry ... P4/mmm, No. 123

CIF file:
```
data_RbV2GeBi
_symmetry_space_group_name_H-M 'P 1'
_symmetry_Int_Tables_number 1
_symmetry_space_group_name_Hall 'P 1'
_cell_length_a 4.613
_cell_length_b 4.613
_cell_length_c 6.118
_cell_angle_alpha 90.00
_cell_angle_beta 90.00
_cell_angle_gamma 90.00
loop_
_atom_site_label
_atom_site_fract_x
_atom_site_fract_y
_atom_site_fract_z
Rb1 0.000 0.000 0.000
V1 0.000 0.500 0.000
V2 0.500 0.000 0.000
Ge1 0.500 0.500 0.500
Bi1 0.000 0.000 0.500
```